! TaAgN2O (PBE, relaxed); values from VASP
&SYSTEM
  ibrav = 0, nat = 5, ntyp = 4
/
ATOMIC_SPECIES
Ta 180.95 Ta.upf
Ag 107.87 Ag.upf
N 14.01 N.upf
O 16.00 O.upf
ATOMIC_POSITIONS crystal
Ta 0.0000 0.0000 0.0000
Ag 0.5000 0.5000 0.5000
N 0.0000 0.5000 0.5000
N 0.5000 0.0000 0.5000
O 0.5000 0.5000 0.0000
CELL_PARAMETERS angstrom
3.9534 0.0000 0.0000
0.0000 3.9534 0.0000
0.0000 0.0000 3.8937
! E in Ha/atom: -0.21201
! SG: P4/mmm, No. 123

---

! TaAgN2O (PBE, relaxed); values from VASP
&SYSTEM
  ibrav = 0, nat = 5, ntyp = 4
/
ATOMIC_SPECIES
Ta 180.95 Ta.upf
Ag 107.87 Ag.upf
N 14.01 N.upf
O 16.00 O.upf
ATOMIC_POSITIONS crystal
Ta 0.0000 0.0000 0.0000
Ag 0.5000 0.5000 0.5000
N 0.0000 0.5000 0.0000
N 0.5000 0.0000 0.0000
O 0.0000 0.0000 0.5000
CELL_PARAMETERS angstrom
4.1301 0.0000 0.0000
0.0000 4.1301 0.0000
0.0000 0.0000 3.9652
! E in Ha/atom: -0.27401
! SG: P4/mmm, No. 123

---

! TcAgNO2 (PBE, relaxed); values from VASP
&SYSTEM
  ibrav = 0, nat = 5, ntyp = 4
/
ATOMIC_SPECIES
Tc 98.00 Tc.upf
Ag 107.87 Ag.upf
N 14.01 N.upf
O 16.00 O.upf
ATOMIC_POSITIONS crystal
Tc 0.0000 0.0000 0.0000
Ag 0.5000 0.5000 0.5000
N 0.5000 0.5000 0.0000
O 0.0000 0.5000 0.5000
O 0.5000 0.0000 0.5000
CELL_PARAMETERS angstrom
4.0588 0.0000 0.0000
0.0000 4.0588 0.0000
0.0000 0.0000 4.0129
! E in Ha/atom: -0.18128
! SG: P4/mmm, No. 123

---

! TcAgNO2 (PBE, relaxed); values from VASP
&SYSTEM
  ibrav = 0, nat = 5, ntyp = 4
/
ATOMIC_SPECIES
Tc 98.00 Tc.upf
Ag 107.87 Ag.upf
N 14.01 N.upf
O 16.00 O.upf
ATOMIC_POSITIONS crystal
Tc 0.0000 0.0000 0.0000
Ag 0.5000 0.5000 0.5000
N 0.0000 0.0000 0.5000
O 0.0000 0.5000 0.0000
O 0.5000 0.0000 0.0000
CELL_PARAMETERS angstrom
3.9021 0.0000 0.0000
0.0000 3.9021 0.0000
0.0000 0.0000 3.9048
! E in Ha/atom: -0.24093
! SG: P4/mmm, No. 123

---

Here are the calculated spin magnetization numbers, same order: 0.28; 1.64; 3.38; 0.00 (μB per formula unit).